Entry 1:
# K3Ta2Ag3Se8, optimized geometry, DFT GGA-PBE
# - Raw formation energy: -817.4 meV/atom
data_K3Ta2Ag3Se8
_cell_length_a 25.769
_cell_length_b 6.166
_cell_length_c 14.633
_cell_angle_alpha 90.00
_cell_angle_beta 118.90
_cell_angle_gamma 90.00
_space_group_name_H-M_alt 'C 1 2/c 1'
_space_group_IT_number 15
loop_
_space_group_symop_operation_xyz
'x,y,z'
'-x,-y,-z'
'-x,y,-z+1/2'
'x,-y,z+1/2'
'x+1/2,y+1/2,z'
'-x+1/2,-y+1/2,-z'
'-x+1/2,y+1/2,-z+1/2'
'x+1/2,-y+1/2,z+1/2'
loop_
_atom_site_label
_atom_site_type_symbol
_atom_site_fract_x
_atom_site_fract_y
_atom_site_fract_z
K1 K 0.000 0.000 0.000
K2 K 0.199 0.410 0.109
Ta1 Ta 0.127 0.311 0.778
Ag1 Ag 0.000 0.310 0.750
Ag2 Ag 0.127 0.189 0.285
Se1 Se 0.045 0.467 0.148
Se2 Se 0.097 0.097 0.888
Se3 Se 0.158 0.086 0.677
Se4 Se 0.212 0.475 0.394

***

Entry 2:
# K3TaAg2Se6, optimized geometry, DFT GGA-PBE
# - Raw formation energy: -624.5 meV/atom
data_K3TaAg2Se6
_cell_length_a 6.925
_cell_length_b 12.637
_cell_length_c 7.731
_cell_angle_alpha 90.00
_cell_angle_beta 105.83
_cell_angle_gamma 90.00
_space_group_name_H-M_alt 'C 1 2/m 1'
_space_group_IT_number 12
loop_
_space_group_symop_operation_xyz
'x,y,z'
'-x,-y,-z'
'-x,y,-z'
'x,-y,z'
'x+1/2,y+1/2,z'
'-x+1/2,-y+1/2,-z'
'-x+1/2,y+1/2,-z'
'x+1/2,-y+1/2,z'
loop_
_atom_site_label
_atom_site_type_symbol
_atom_site_fract_x
_atom_site_fract_y
_atom_site_fract_z
K1 K 0.000 0.000 0.000
K2 K 0.000 0.318 0.000
Ta1 Ta 0.000 0.500 0.500
Ag1 Ag 0.000 0.161 0.500
Se1 Se 0.221 0.500 0.287
Se2 Se 0.230 0.349 0.684

***

| no. | calculated volume (A^3/atom) |
| --- | --- |
| 1 | 31.803 |
| 2 | 27.119 |